Below is an optimized crystal structure of AsOsRh, with properties calculated at the PBE-GGA level.

The space group is Fmm2 (No. 42) and the conventional cell measures 2.797, 4.835 and 13.560 Å, with angles of 90.00, 90.00 and 90.00 degrees. The inequivalent atoms are As at (0.000, 0.000, 0.000), Os at (0.000, 0.000, 0.665) and Rh at (0.000, 0.000, 0.332).

The volume comes out at 183.4 Å³/cell. As for the total energy: -7.2553 eV per atom.